1.
## RbZnInP2 (GGA-PBE)

Data for RbZnInP2 after structural relaxation.

```
RbZnInP2
1.0
6.796 -2.105 0.000
6.796 2.105 0.000
-1.458 0.000 9.647
Rb Zn In P
2 2 2 4
direct
0.162 0.162 0.162
0.838 0.838 0.838
0.178 0.178 0.570
0.822 0.822 0.430
0.456 0.456 0.315
0.544 0.544 0.685
0.125 0.125 0.803
0.364 0.364 0.557
0.636 0.636 0.443
0.875 0.875 0.197
```

Properties
formation enthalpy at 0 K	-0.310	eV per atom
electronic total energy	-3.47	eV/atom


2.
## In2ReP (GGA-PBE)

Data for In2ReP after structural relaxation.

```
In2ReP
1.0
2.815 0.000 0.000
0.000 3.275 0.000
0.000 0.000 8.387
In Re P
2 1 1
direct
0.000 0.000 0.230
0.000 0.000 0.770
0.500 0.500 0.000
0.000 0.500 0.500
```

Properties
formation enthalpy at 0 K	0.562	eV per atom
density of states at the Fermi level	2.10	states/eV per cell
electronic total energy	-5.27	eV/atom


3.
## In4ReP (GGA-PBE)

Data for In4ReP after structural relaxation.

```
In4ReP
1.0
0.000 4.028 4.028
4.028 0.000 4.028
4.028 4.028 0.000
In Re P
4 1 1
direct
0.125 0.125 0.125
0.125 0.125 0.625
0.125 0.625 0.125
0.625 0.125 0.125
0.500 0.500 0.500
0.750 0.750 0.750
```

Properties
formation enthalpy at 0 K	1.111	eV per atom
density of states at the Fermi level	4.63	states/eV per cell
electronic total energy	-3.69	eV/atom